one) DFT (GGA-PBE) results for a relaxed RbTlTc2 crystal.

- Crystal system: cubic

Lattice parameters (Å, degrees): 7.0927 7.0927 7.0927 90.00 90.00 90.00
Space group Fm-3m (No. 225)
One atom of each set of equivalent atoms:
Rb (0.0000, 0.0000, 0.0000) (multiplicity 4)
Tl (0.0000, 0.0000, 0.5000) (multiplicity 4)
Tc (0.2500, 0.2500, 0.2500) (multiplicity 8)

=====

two) DFT (GGA-PBE) results for a relaxed RbTlTc2 crystal.

- Crystal system: tetragonal

Lattice parameters (Å, degrees): 8.3615 8.3615 5.6373 90.00 90.00 90.00
Space group I-42d (No. 122)
One atom of each set of equivalent atoms:
Rb (0.0000, 0.0000, 0.0000) (multiplicity 4)
Tl (0.0000, 0.0000, 0.5000) (multiplicity 4)
Tc (0.2070, 0.7500, 0.6250) (multiplicity 8)

=====

Stability verdict: one), ahead by 0.140 eV/atom

=====

one) DFT (GGA-PBE) results for a relaxed RbTlTc3 crystal.

- Crystal system: cubic

Lattice parameters (Å, degrees): 5.2963 5.2963 5.2963 90.00 90.00 90.00
Space group Pm-3m (No. 221)
One atom of each set of equivalent atoms:
Rb (0.0000, 0.0000, 0.0000) (multiplicity 1)
Tl (0.5000, 0.5000, 0.5000) (multiplicity 1)
Tc (0.0000, 0.5000, 0.5000) (multiplicity 3)

=====

two) DFT (GGA-PBE) results for a relaxed RbTlTc3 crystal.

- Crystal system: cubic

Lattice parameters (Å, degrees): 4.8205 4.8205 4.8205 90.00 90.00 90.00
Space group Pm-3m (No. 221)
One atom of each set of equivalent atoms:
Rb (0.0000, 0.0000, 0.0000) (multiplicity 1)
Tl (0.5000, 0.5000, 0.5000) (multiplicity 1)
Tc (0.0000, 0.0000, 0.5000) (multiplicity 3)

=====

Stability verdict: one), ahead by 0.769 eV/atom

=====

one) DFT (GGA-PBE) results for a relaxed Rb2VTc crystal.

- Crystal system: cubic

Lattice parameters (Å, degrees): 8.4694 8.4694 8.4694 90.00 90.00 90.00
Space group Fm-3m (No. 225)
One atom of each set of equivalent atoms:
Rb (0.2500, 0.2500, 0.2500) (multiplicity 8)
V (0.0000, 0.0000, 0.0000) (multiplicity 4)
Tc (0.0000, 0.0000, 0.5000) (multiplicity 4)

=====

two) DFT (GGA-PBE) results for a relaxed Rb2VTc crystal.

- Crystal system: tetragonal

Lattice parameters (Å, degrees): 13.6005 13.6005 4.4984 90.00 90.00 90.00
Space group I-42d (No. 122)
One atom of each set of equivalent atoms:
Rb (0.0722, 0.2500, 0.1250) (multiplicity 8)
V (0.0000, 0.0000, 0.0000) (multiplicity 4)
Tc (0.0000, 0.0000, 0.5000) (multiplicity 4)

=====

Stability verdict: two), ahead by 0.811 eV/atom